Density functional theory data (GGA-PBEsol) for crystalline Li2SbPb at its relaxed geometry.

Properties
Fermi-level density of states	1.8	states/eV per cell
excess energy over the best structure of this formula in the dataset	0.73	eV/f.u.
E_tot	-3.3271	eV per atom
energy relative to the elements, uncorrected	-0.20	eV/atom
mass density	5.8	g/cm3
V	97.33	Å³ per cell

abc: 5.1633 5.1633 5.1633
angles: 60.00 60.00 60.00
Last column: nearest neighbours and their distance in Å.
Atoms (fractional coordinates):
1 Li 0.0000 0.0000 0.0000  4 Li 3.16, 4 Sb 3.16
2 Li 0.2500 0.2500 0.2500  4 Pb 3.16, 4 Li 3.16
3 Pb 0.5000 0.5000 0.5000  4 Li 3.16, 4 Sb 3.16
4 Sb 0.7500 0.7500 0.7500  4 Pb 3.16, 4 Li 3.16